VASP calculation (PBE) on a relaxed MgTa2 crystal.

a b c (Å): 4.280 5.918 8.822
angles (deg): 90.00 90.00 90.00
Positions (direct):
Mg 0.250 0.097 0.072
Mg 0.750 0.403 0.572
Mg 0.250 0.597 0.428
Mg 0.750 0.903 0.928
Ta 0.750 0.412 0.903
Ta 0.250 0.672 0.763
Ta 0.750 0.828 0.263
Ta 0.250 0.088 0.403
Ta 0.250 0.172 0.737
Ta 0.250 0.588 0.097
Ta 0.750 0.328 0.237
Ta 0.750 0.912 0.597

E_form (meV per atom): 288.5
Calculated total energy (eV per atom): -8.145
Total moment (Bohr magnetons per cell): 0.00